This record from the Open Quantum Materials Database describes HoTmNi2C2N2 after structural relaxation. The functional is PBE.

Output
The calculation puts the total magnetization at 0.0 μB per formula unit. As for the crystal system: tetragonal. The final energy comes out at -7.57 eV/atom. Its space group is No. 99.

```
HoTmNi2C2N2
1.0
3.4262 0.0000 0.0000
0.0000 3.4262 0.0000
0.0000 0.0000 7.2892
Ho Tm Ni C N
1 1 2 2 2
Direct
0.0000 0.0000 0.0000
0.5000 0.5000 0.3440
0.0000 0.5000 0.6717
0.5000 0.0000 0.6717
0.0000 0.0000 0.5111
0.5000 0.5000 0.8355
0.0000 0.0000 0.3180
0.5000 0.5000 0.0289
```

This record from the Open Quantum Materials Database describes YHo2Ni2C2N3 after structural relaxation. The functional is PBE.

Output
The calculation puts the total magnetization at 0.1 μB per formula unit. As for the crystal system: tetragonal. The final energy comes out at -7.89 eV/atom. Its space group is No. 139.

```
YHo2Ni2C2N3
1.0
-1.7245 1.7245 9.7634
1.7245 -1.7245 9.7634
1.7245 1.7245 -9.7634
Y Ho Ni C N
1 2 2 2 3
Direct
0.0000 0.0000 0.0000
0.3744 0.3744 0.0000
0.6256 0.6256 0.0000
0.2500 0.7500 0.5000
0.7500 0.2500 0.5000
0.1906 0.1906 0.0000
0.8094 0.8094 0.0000
0.1188 0.1188 0.0000
0.5000 0.5000 0.0000
0.8812 0.8812 0.0000
```

This record from the Open Quantum Materials Database describes Y2HoNi2C2N3 after structural relaxation. The functional is PBE.

Output
The calculation puts the total magnetization at 0.1 μB per formula unit. As for the crystal system: tetragonal. The final energy comes out at -8.08 eV/atom. Its space group is No. 139.

```
Y2HoNi2C2N3
1.0
-1.7297 1.7297 9.7596
1.7297 -1.7297 9.7596
1.7297 1.7297 -9.7596
Y Ho Ni C N
2 1 2 2 3
Direct
0.1254 0.1254 0.0000
0.8746 0.8746 0.0000
0.5000 0.5000 0.0000
0.2500 0.7500 0.5000
0.7500 0.2500 0.5000
0.3098 0.3098 0.0000
0.6902 0.6902 0.0000
0.0000 0.0000 0.0000
0.3815 0.3815 0.0000
0.6185 0.6185 0.0000
```

This record from the Open Quantum Materials Database describes YHoCN2O2 after structural relaxation. The functional is PBE.

Output
The calculation puts the total magnetization at 0.0 μB per formula unit. As for the crystal system: trigonal. The final energy comes out at -8.87 eV/atom. Its space group is No. 156.

```
YHoCN2O2
1.0
3.6946 0.0000 0.0000
-1.8473 3.1996 0.0000
0.0000 0.0000 8.1459
Y Ho C N O
1 1 1 2 2
Direct
0.0000 0.0000 0.0000
0.6667 0.3333 0.6453
0.3333 0.6667 0.3225
0.3333 0.6667 0.1709
0.3333 0.6667 0.4740
0.0000 0.0000 0.7169
0.6667 0.3333 0.9235
```

This record from the Open Quantum Materials Database describes Ho2Si4CN6 after structural relaxation. The functional is PBE.

Output
The calculation puts the total magnetization at 0.0 μB per formula unit. As for the crystal system: monoclinic. The final energy comes out at -8.14 eV/atom. Its space group is No. 14.

```
Ho2Si4CN6
1.0
5.9163 0.0000 0.0000
0.0000 9.8871 0.0000
-5.8461 0.0000 10.3146
Ho Si C N
8 16 4 24
Direct
0.1584 0.0862 0.4187
0.1584 0.4138 0.9187
0.1685 0.0653 0.9042
0.1685 0.4347 0.4042
0.8315 0.5653 0.5958
0.8315 0.9347 0.0958
0.8416 0.5862 0.0813
0.8416 0.9138 0.5813
0.1781 0.2281 0.6589
0.1781 0.2719 0.1589
0.2977 0.7053 0.8233
0.2977 0.7947 0.3233
0.3353 0.7128 0.5797
0.3353 0.7872 0.0797
0.4950 0.5206 0.2506
0.4950 0.9794 0.7506
0.5050 0.0206 0.2494
0.5050 0.4794 0.7494
0.6647 0.2128 0.9203
0.6647 0.2872 0.4203
0.7023 0.2053 0.6767
0.7023 0.2947 0.1767
0.8219 0.7281 0.8411
0.8219 0.7719 0.3411
0.4757 0.7086 0.2474
0.4757 0.7914 0.7474
0.5243 0.2086 0.2526
0.5243 0.2914 0.7526
0.0064 0.2089 0.0006
0.0064 0.2911 0.5006
0.0199 0.2359 0.2465
0.0199 0.2641 0.7465
0.2005 0.0533 0.6366
0.2005 0.4467 0.1366
0.2556 0.5348 0.7762
0.2556 0.9652 0.2762
0.4414 0.5443 0.5998
0.4414 0.9557 0.0998
0.4575 0.7093 0.9905
0.4575 0.7907 0.4905
0.5425 0.2093 0.5095
0.5425 0.2907 0.0095
0.5586 0.0443 0.9002
0.5586 0.4557 0.4002
0.7444 0.0348 0.7238
0.7444 0.4652 0.2238
0.7995 0.5533 0.8634
0.7995 0.9467 0.3634
0.9801 0.7359 0.2535
0.9801 0.7641 0.7535
0.9936 0.7089 0.4994
0.9936 0.7911 0.9994
```

This record from the Open Quantum Materials Database describes HoNb3C after structural relaxation. The functional is PBE.

Output
The calculation puts the total magnetization at 0.0 μB per formula unit. As for the crystal system: cubic. The final energy comes out at -8.80 eV/atom. Its space group is No. 221.

```
HoNb3C
1.0
4.4611 0.0000 0.0000
0.0000 4.4611 0.0000
0.0000 0.0000 4.4611
Ho Nb C
1 3 1
Direct
0.0000 0.0000 0.0000
0.0000 0.5000 0.5000
0.5000 0.0000 0.5000
0.5000 0.5000 0.0000
0.5000 0.5000 0.5000
```

This record from the Open Quantum Materials Database describes HoNbCS after structural relaxation. The functional is PBE.

Output
The calculation puts the total magnetization at 0.0 μB per formula unit. Its relative energy among the computed polymorphs is 0.000 eV/atom. As for the crystal system: hexagonal. The final energy comes out at -8.02 eV/atom. Its space group is No. 187.

```
HoNbCS
1.0
3.4276 0.0000 0.0000
-1.7138 2.9684 0.0000
0.0000 0.0000 12.3357
Ho Nb C S
2 2 2 2
Direct
0.0000 0.0000 0.1558
0.0000 0.0000 0.8442
0.3333 0.6667 0.3614
0.3333 0.6667 0.6386
0.6667 0.3333 0.2705
0.6667 0.3333 0.7295
0.0000 0.0000 0.5000
0.3333 0.6667 0.0000
```

This record from the Open Quantum Materials Database describes HoNbCS after structural relaxation. The functional is PBE.

Output
The calculation puts the total magnetization at 0.0 μB per formula unit. Its relative energy among the computed polymorphs is 0.038 eV/atom. As for the crystal system: trigonal. The final energy comes out at -7.99 eV/atom. Its space group is No. 164.

```
HoNbCS
1.0
3.4936 0.0000 0.0000
-1.7468 3.0255 0.0000
0.0000 0.0000 12.2101
Ho Nb C S
2 2 2 2
Direct
0.3333 0.6667 0.3894
0.6667 0.3333 0.6106
0.3333 0.6667 0.0848
0.6667 0.3333 0.9152
0.0000 0.0000 0.0000
0.0000 0.0000 0.5000
0.3333 0.6667 0.7735
0.6667 0.3333 0.2265
```